Computed, not measured: an optimized crystal structure of PmPdAuO4 at the GGA-PBE level of DFT.

Cell: 6.2422 6.5939 7.1469 Å, 122.82 90.00 118.25°
Fractional positions:
O 0.7133 0.9533 0.7266
O 0.7577 0.5154 0.7033
O 0.2400 0.9533 0.7266
O 0.2423 0.4846 0.2967
O 0.7600 0.0467 0.2734
O 0.7577 0.5154 0.3121
O 0.2867 0.0467 0.2734
O 0.2423 0.4846 0.6879
Pm 0.5000 0.0000 0.0000
Pm 0.5000 0.0000 0.5000
Au 0.8323 0.6646 0.0823
Au 0.1677 0.3354 0.9177
Pd 0.5000 0.5000 0.5000
Pd 0.0000 0.5000 0.5000

E_form (uncorrected): -27.03 kcal/mol of atoms
Electronic total energy: -5.89 eV/atom
Total magnetic moment: 0.000 μB/atom